[1]
Entry from the Alexandria database: an optimized crystal structure of AlV6Ga2 (PBE).

Cell and atoms, written as POSCAR:
```
AlV6Ga2
1.0
-0.601 -2.440 -0.688
6.521 -4.184 0.175
4.207 -4.830 6.396
Al V Ga
1 6 2
direct
0.500 0.500 0.500
0.628 0.946 0.157
0.723 0.386 0.841
0.277 0.614 0.159
0.372 0.054 0.843
0.228 0.176 0.495
0.772 0.824 0.505
0.995 0.746 0.814
0.005 0.254 0.186
```

The energy relative to the elements comes out at -153 meV per atom. The volume is 125.13 Å³ per cell. Its total magnetic moment is 0.0000 μB/atom.



[2]
Entry from the Alexandria database: an optimized crystal structure of GaTe3Br (PBE).

Cell and atoms, written as POSCAR:
```
GaTe3Br
1.0
-0.706 5.342 0.454
-5.219 -0.580 -1.291
-1.227 -0.607 5.231
Ga Te Br
1 3 1
direct
0.000 0.000 0.000
0.000 0.000 0.500
0.500 0.000 0.000
0.000 0.500 0.000
0.500 0.500 0.500
```

The volume is 158.11 Å³ per cell. Its total magnetic moment is 0.0000 μB/atom. As for the formation energy from raw total energies: 181 kJ/mol of formula units.



[3]
Entry from the Alexandria database: an optimized crystal structure of AsPBr2 (PBE).

Cell and atoms, written as POSCAR:
```
AsPBr2
1.0
-2.804 2.671 3.087
-1.693 4.437 -1.404
-4.821 0.624 -0.947
As P Br
1 1 2
direct
0.500 0.500 0.500
0.000 0.000 0.000
0.750 0.750 0.750
0.250 0.250 0.250
```

The volume is 85.89 Å³ per cell. Its total magnetic moment is 0.0000 μB/atom. As for the formation energy from raw total energies: 340 kJ/mol of formula units.



[4]
Entry from the Alexandria database: an optimized crystal structure of MgZnRuRh2 (PBE).

Cell and atoms, written as POSCAR:
```
MgZnRuRh2
1.0
4.668 0.000 0.000
0.000 4.829 0.000
0.000 0.000 4.668
Rh Ru Zn Mg
2 1 1 1
direct
0.000 0.000 0.500
0.500 0.000 0.000
0.000 0.000 0.000
0.500 0.500 0.500
0.000 0.500 0.000
```

The energy relative to the elements comes out at 905 meV per atom. The volume is 105.21 Å³ per cell. Its total magnetic moment is 0.0000 μB/atom.



[5]
Entry from the Alexandria database: an optimized crystal structure of TbTh3In4 (PBE).

Cell and atoms, written as POSCAR:
```
TbTh3In4
1.0
-3.825 -5.318 1.870
0.100 -2.339 -6.444
8.048 -5.094 1.974
In Th Tb
8 6 2
direct
0.065 0.261 0.250
0.315 0.500 0.000
0.565 0.739 0.250
0.313 0.001 0.000
0.813 0.999 0.500
0.065 0.261 0.750
0.815 0.500 0.500
0.565 0.739 0.750
0.814 0.000 0.000
0.565 0.237 0.750
0.314 0.000 0.500
0.065 0.763 0.250
0.065 0.763 0.750
0.565 0.237 0.250
0.815 0.500 0.000
0.315 0.500 0.500
```

The energy relative to the elements comes out at -237 meV per atom. The volume is 454.32 Å³ per cell. Its total magnetic moment is 0.0000 μB/atom.



[6]
Entry from the Alexandria database: an optimized crystal structure of Mo2H3Rh2 (PBE).

Cell and atoms, written as POSCAR:
```
Mo2H3Rh2
1.0
2.640 0.000 -0.979
-0.196 4.952 -0.529
0.332 -0.238 4.941
Rh H Mo
2 3 2
direct
0.882 0.624 0.764
0.118 0.376 0.236
0.740 0.226 0.479
0.260 0.774 0.521
0.000 0.000 0.000
0.378 0.143 0.756
0.622 0.857 0.244
```

The volume is 65.82 Å³ per cell. Its total magnetic moment is 0.0000 μB/atom.



[7]
Entry from the Alexandria database: an optimized crystal structure of ZnIn3Cl (PBE).

Cell and atoms, written as POSCAR:
```
ZnIn3Cl
1.0
-1.943 -5.263 -1.089
1.376 -1.607 5.309
-5.196 1.543 1.813
In Cl Zn
3 1 1
direct
0.500 0.000 0.000
0.000 0.500 0.000
0.000 0.000 0.500
0.000 0.000 0.000
0.500 0.500 0.500
```

The volume is 186.67 Å³ per cell. Its total magnetic moment is 0.0000 μB/atom. As for the formation energy from raw total energies: 118 kJ/mol of formula units.



[8]
Entry from the Alexandria database: an optimized crystal structure of Ti2Cu2Re (PBE).

Cell and atoms, written as POSCAR:
```
Ti2Cu2Re
1.0
-5.347 -4.272 1.484
1.747 0.169 6.780
-1.739 2.312 0.390
Cu Re Ti
4 2 4
direct
0.119 0.381 0.000
0.381 0.881 0.000
0.619 0.119 0.000
0.881 0.619 0.000
0.500 0.500 0.000
0.000 0.000 0.000
0.318 0.182 0.500
0.682 0.818 0.500
0.182 0.682 0.500
0.818 0.318 0.500
```

The energy relative to the elements comes out at 50 meV per atom. The volume is 143.17 Å³ per cell. Its total magnetic moment is 0.0000 μB/atom.



[9]
Entry from the Alexandria database: an optimized crystal structure of NaCeBe2F8 (PBE).

Cell and atoms, written as POSCAR:
```
NaCeBe2F8
1.0
-0.450 -4.245 -3.262
1.392 -4.887 1.743
-5.068 -3.910 1.364
F Na Ce Be
8 1 1 2
direct
0.970 0.513 0.202
0.685 0.030 0.798
0.487 0.685 0.798
0.854 0.854 0.437
0.030 0.487 0.798
0.146 0.146 0.563
0.315 0.970 0.202
0.513 0.315 0.202
0.500 0.500 0.500
0.000 0.000 0.000
0.234 0.234 0.297
0.766 0.766 0.703
```

The volume is 144.05 Å³ per cell. Its total magnetic moment is 0.0833 μB/atom. As for the formation energy from raw total energies: -3902 kJ/mol of formula units.



[10]
Entry from the Alexandria database: an optimized crystal structure of CeErMnTc (PBE).

Cell and atoms, written as POSCAR:
```
CeErMnTc
1.0
4.877 0.000 0.000
2.438 4.224 0.000
2.438 1.408 3.982
Tc Mn Er Ce
1 1 1 1
direct
0.500 0.500 0.500
0.000 0.000 0.000
0.250 0.250 0.250
0.750 0.750 0.750
```

The energy relative to the elements comes out at 93 meV per atom. The volume is 82.02 Å³ per cell. Its total magnetic moment is 0.6973 μB/atom.



[11]
Entry from the Alexandria database: an optimized crystal structure of NaLiMo2Os (PBE).

Cell and atoms, written as POSCAR:
```
NaLiMo2Os
1.0
4.836 0.000 0.000
0.000 3.241 0.000
0.000 0.000 4.836
Os Mo Na Li
1 2 1 1
direct
0.500 0.500 0.500
0.500 0.000 0.000
0.000 0.000 0.500
0.000 0.000 0.000
0.000 0.500 0.000
```

The energy relative to the elements comes out at 2025 meV per atom. The volume is 75.81 Å³ per cell. Its total magnetic moment is 0.0000 μB/atom.



[12]
Entry from the Alexandria database: an optimized crystal structure of Zr6TlBi (PBE).

Cell and atoms, written as POSCAR:
```
Zr6TlBi
1.0
8.048 0.013 0.341
4.023 6.980 0.193
3.880 2.321 3.453
Zr Bi Tl
6 1 1
direct
0.500 0.747 0.750
0.253 0.000 0.248
0.747 0.000 0.752
0.500 0.253 0.250
0.999 0.499 0.249
0.001 0.501 0.751
0.000 0.000 0.000
0.500 0.500 0.500
```

The energy relative to the elements comes out at -156 meV per atom. The volume is 184.14 Å³ per cell. Its total magnetic moment is 0.0002 μB/atom.



Per-record final energy, eV/atom: -7.321; -2.450; -2.471; -4.464; -4.967; -6.711; -2.023; -7.236; -5.843; -7.415; -5.200; -7.348